1.
4
Lattice="3.0168 0.0000 0.0000 0.0000 4.4836 0.0000 -1.5171 0.0000 4.9471" Properties=species:S:1:pos:R:3 comment="Mn2InSe | Alexandria | GGA-PBEsol | relaxed" formation_energy_uncorrected_ev_per_atom=0.223 dft_energy_ev_per_cell=-25.5 volume_a3_per_atom=16.73 relative_energy_ev_per_fu=0.00 pbc="T T T"
Mn 0.0000 0.0000 0.0000
Mn -0.0015 2.2418 3.6682
In 1.5115 0.0000 2.3685
Se 0.0060 2.2418 0.6498


2.
4
Lattice="0.0000 2.9632 2.9632 2.9632 0.0000 2.9632 2.9632 2.9632 0.0000" Properties=species:S:1:pos:R:3 comment="BeTcOs2 | Alexandria | GGA-PBEsol | relaxed" formation_enthalpy_0k_ev_per_atom=0.269 dft_energy_ev_per_cell=-38.6 volume_a3_per_atom=13.01 pbc="T T T"
Be 0.0000 0.0000 0.0000
Tc 4.4448 4.4448 4.4448
Os 1.4816 1.4816 1.4816
Os 2.9632 2.9632 2.9632


3.
40
Lattice="5.2881 0.0000 0.0000 0.0000 10.7212 0.0000 -0.0789 0.0000 8.2001" Properties=species:S:1:pos:R:3 comment="SrLiVPO6 | Alexandria | GGA-PBEsol | relaxed" formation_energy_uncorrected_ev_per_atom=-2.538 dft_energy_ev_per_cell=-304.4 volume_a3_per_atom=11.62 pbc="T T T"
Sr 1.0160 2.4443 1.0054
Sr 0.9766 2.9163 5.1054
Sr 4.2327 7.8049 3.0947
Sr 4.1932 8.2769 7.1948
Li 1.0071 5.5217 3.1455
Li 0.9677 10.5601 7.2456
Li 4.2415 0.1611 0.9545
Li 4.2021 5.1995 5.0546
V 1.8811 6.2986 0.6730
V 1.8417 9.7831 4.7731
V 3.3675 0.9381 3.4271
V 3.3281 4.4225 7.5271
P 1.5937 6.5842 5.7128
P 1.6331 9.4975 1.6128
P 3.5761 1.2237 6.5874
P 3.6155 4.1369 2.4873
O 0.3723 6.4947 4.7720
O 0.4118 9.5871 0.6720
O 0.5713 6.6415 1.6988
O 0.5319 9.4403 5.7989
O 1.0983 6.9656 7.1329
O 1.1377 9.1162 3.0329
O 1.6555 0.7990 4.2157
O 1.6949 4.5616 0.1156
O 2.3717 0.1595 1.6005
O 2.3322 5.2011 5.7006
O 2.5609 2.3014 7.0943
O 2.6003 3.0592 2.9942
O 2.6089 7.6620 5.2059
O 2.6483 8.4198 1.1059
O 2.8770 5.5201 2.4995
O 2.8376 10.5616 6.5996
O 3.5143 6.1596 8.0845
O 3.5538 9.9222 3.9844
O 4.0715 1.6050 5.1673
O 4.1110 3.7556 1.0672
O 4.6774 1.2809 2.4013
O 4.6379 4.0797 6.5013
O 4.7975 1.1341 7.5282
O 4.8369 4.2265 3.4281


4.
5
Lattice="-2.3367 2.3367 5.3701 2.3367 -2.3367 5.3701 2.3367 2.3367 -5.3701" Properties=species:S:1:pos:R:3 comment="Bi2Ru2I | Alexandria | GGA-PBEsol | relaxed" formation_energy_uncorrected_ev_per_atom=0.650 dft_energy_ev_per_cell=-27.4 volume_a3_per_atom=23.46 pbc="T T T"
Bi 2.3367 0.0000 2.6851
Bi 0.0000 2.3367 2.6851
Ru 0.0000 0.0000 1.1725
Ru 0.0000 0.0000 9.5677
I 0.0000 0.0000 5.3701